1.
Computed, not measured: ZrHgBi2 after structural relaxation at the PBE level of DFT.

Computed properties:
**Magnetic moment**: 0.000 μB per formula unit
**Calculated total energy**: -0.1575 hartree per atom
**ΔE_f**: -0.133 eV/atom
**Density**: 9.86 g cm⁻³

Lattice parameters (Å, degrees): 3.395 3.395 12.138 81.96 81.96 60.00
Sites, in units of the cell vectors:
Bi  0.071  0.071  0.788
Bi  0.263  0.263  0.211
Hg  0.499  0.499  0.502
Zr  0.667  0.667  0.999

***

2.
Computed, not measured: LiIn2Hg5Pb after structural relaxation at the PBE level of DFT.

Computed properties:
**Magnetic moment**: 0.000 μB per formula unit
**Calculated total energy**: -0.0505 hartree per atom
**ΔE_f**: 0.027 eV/atom
**Density**: 9.58 g cm⁻³

Lattice parameters (Å, degrees): 4.976 6.400 8.858 111.18 106.31 90.00
Sites, in units of the cell vectors:
Hg  0.365  0.597  0.730
In  0.193  0.193  0.387
Pb  0.000  0.500  0.000
In  0.807  0.807  0.613
Hg  0.635  0.403  0.270
Hg  0.365  0.133  0.730
Hg  0.635  0.867  0.270
Li  0.500  0.000  0.000
Hg  0.000  0.000  0.000

***

- Which formula does entry 2 have?
  LiIn2Hg5Pb